(1)
{
  "formula": "Pr3SbS6",
  "functional": "PBE",
  "state": "relaxed",
  "total_energy_ev_per_cell": -117.945,
  "total_magnetization_mub_per_cell": 0.0,
  "formation_energy_uncorrected_ev_per_atom": -1.57,
  "lattice": [[5.5145, -6.9135, 0.0000], [5.5145, 6.9135, 0.0000], [0.0000, 0.0000, 7.0165]],
  "species": ["Pr", "Pr", "Pr", "Pr", "Pr", "Pr", "Sb", "Sb", "S", "S", "S", "S", "S", "S", "S", "S", "S", "S", "S", "S"],
  "fractional_positions": [[0.0979, 0.9021, 0.5000], [0.2142, 0.4159, 0.4095], [0.4159, 0.2142, 0.9095], [0.5841, 0.7858, 0.4095], [0.7858, 0.5841, 0.9095], [0.9021, 0.0979, 0.0000], [0.3241, 0.6759, 0.8901], [0.6759, 0.3241, 0.3901], [0.0755, 0.5981, 0.7043], [0.1377, 0.1906, 0.7064], [0.1906, 0.1377, 0.2064], [0.2689, 0.7311, 0.2611], [0.4019, 0.9245, 0.7043], [0.4882, 0.5118, 0.6523], [0.5118, 0.4882, 0.1523], [0.5981, 0.0755, 0.2043], [0.7311, 0.2689, 0.7611], [0.8094, 0.8623, 0.7064], [0.8623, 0.8094, 0.2064], [0.9245, 0.4019, 0.2043]]
}

(2)
{
  "formula": "HoErBeIr",
  "functional": "PBE",
  "state": "relaxed",
  "total_energy_ev_per_cell": -23.494,
  "total_magnetization_mub_per_cell": 0.0,
  "lattice": [[0.0000, 3.4011, 3.4011], [3.4011, 0.0000, 3.4011], [3.4011, 3.4011, 0.0000]],
  "species": ["Ho", "Er", "Be", "Ir"],
  "fractional_positions": [[0.0000, 0.0000, 0.0000], [0.5000, 0.5000, 0.5000], [0.7500, 0.7500, 0.7500], [0.2500, 0.2500, 0.2500]]
}

What is the formula in the first record? Pr3SbS6

Copy entry 2 word for word.
{
  "formula": "HoErBeIr",
  "functional": "PBE",
  "state": "relaxed",
  "total_energy_ev_per_cell": -23.494,
  "total_magnetization_mub_per_cell": 0.0,
  "lattice": [[0.0000, 3.4011, 3.4011], [3.4011, 0.0000, 3.4011], [3.4011, 3.4011, 0.0000]],
  "species": ["Ho", "Er", "Be", "Ir"],
  "fractional_positions": [[0.0000, 0.0000, 0.0000], [0.5000, 0.5000, 0.5000], [0.7500, 0.7500, 0.7500], [0.2500, 0.2500, 0.2500]]
}